Cs2LiFeO4: relaxed, GGA+U.

a = 5.1019 Å, b = 6.6232 Å, c = 10.9600 Å
α = 84.86°, β = 76.54°, γ = 67.35°
Closest atoms and distances in Å follow each position.
Positions (direct):
Cs 0.1735 0.0000 0.6530  8 O 3.27-3.48
Cs 0.8265 0.0000 0.3470  8 O 3.27-3.48
Cs 0.5765 0.5000 0.8470  8 O 3.27-3.48
Cs 0.9235 0.5000 0.1530  8 O 3.27-3.48
Li 0.7500 0.5000 0.5000  4 O 1.92
Li 0.0000 0.0000 0.0000  4 O 1.92
Fe 0.2500 0.5000 0.5000  4 O 1.75
Fe 0.5000 0.0000 0.0000  4 O 1.75
O 0.3111 0.8429 0.0848  1 Fe 1.75, 1 Li 1.92
O 0.2387 0.1571 0.9152  1 Fe 1.75, 1 Li 1.92
O 0.8460 0.8429 0.9152  1 Fe 1.75, 1 Li 1.92
O 0.6042 0.1571 0.0848  1 Fe 1.75, 1 Li 1.92
O 0.4389 0.6571 0.4152  1 Fe 1.75, 1 Li 1.92
O 0.5113 0.3429 0.5848  1 Fe 1.75, 1 Li 1.92
O 0.9040 0.6571 0.5848  1 Fe 1.75, 1 Li 1.92
O 0.1458 0.3429 0.4152  1 Fe 1.75, 1 Li 1.92

Output
VASP energy: -79.31 eV/cell
Space group: Fddd, No. 70
Volume: 20.77 A^3/atom